A plane-wave DFT calculation with PBE was carried out for Zr3Pb5 after structural relaxation.

a = 6.2819 Å, b = 6.2819 Å, c = 5.2667 Å
α = 90.00°, β = 90.00°, γ = 91.26°
Element x y z (fractional)
Zr 0.0000 0.0000 0.0000
Zr 0.2320 0.2320 0.5000
Zr 0.7680 0.7680 0.5000
Pb 0.0000 0.5000 0.0000
Pb 0.2536 0.7464 0.5000
Pb 0.5000 0.0000 0.0000
Pb 0.5000 0.5000 0.0000
Pb 0.7464 0.2536 0.5000

## Properties
The value obtained for the calculated total energy is -5.493 eV per atom. The value obtained for the formation energy from the elements is 0.030 eV/atom. The total magnetization is 0.00 μB per formula unit. The density of states at the Fermi level is 6.3 states/eV/cell.